Entry from Alexandria: a relaxed Er2V2O7 crystal (GGA+U).

Cell: 7.1148 7.1148 7.1148 Å, 60.00 60.00 60.00°
Sites, in units of the cell vectors:
Er (0.0000, 0.0000, 0.0000)
Er (0.0000, 0.0000, 0.5000)
Er (0.0000, 0.5000, 0.0000)
Er (0.5000, 0.0000, 0.0000)
V (0.0000, 0.5000, 0.5000)
V (0.5000, 0.0000, 0.5000)
V (0.5000, 0.5000, 0.0000)
V (0.5000, 0.5000, 0.5000)
O (0.1250, 0.1250, 0.1250)
O (0.1674, 0.1674, 0.5826)
O (0.1674, 0.5826, 0.1674)
O (0.1674, 0.5826, 0.5826)
O (0.4174, 0.4174, 0.8326)
O (0.4174, 0.8326, 0.4174)
O (0.4174, 0.8326, 0.8326)
O (0.5826, 0.1674, 0.1674)
O (0.5826, 0.1674, 0.5826)
O (0.5826, 0.5826, 0.1674)
O (0.8326, 0.4174, 0.4174)
O (0.8326, 0.4174, 0.8326)
O (0.8326, 0.8326, 0.4174)
O (0.8750, 0.8750, 0.8750)

Properties
The symmetry is Fd-3m (227). For the total energy, the calculation gives -8.14 eV/atom.